Entry 1:
Computed, not measured: an optimized crystal structure of La2YW at the GGA-PBE level of DFT.

```
La2YW
1.0
6.5259 -0.0003 -0.0088
3.1160 5.7340 0.0088
-4.1431 -4.0068 3.0608
La W Y
2 1 1
Cartesian
9.1697 5.4529 0.0000
5.2932 3.1477 0.0000
3.6019 -0.5701 1.5260
1.8969 2.2970 1.5348
```

## Properties
For the energy above the lowest structure with this stoichiometry, the calculation gives 13 meV per atom.

Entry 2:
Computed, not measured: an optimized crystal structure of La2YW at the GGA-PBE level of DFT.

```
La2YW
1.0
6.4858 0.0088 0.0010
2.9813 5.7600 -0.0010
-4.0734 -3.9677 3.1193
La W Y
2 1 1
Cartesian
9.4549 5.7613 0.0000
3.0950 -0.8285 1.5601
4.7956 2.9222 0.0000
2.2488 2.5991 1.5592
```

## Properties
For the energy above the lowest structure with this stoichiometry, the calculation gives 41 meV per atom.

Entry 3:
Computed, not measured: an optimized crystal structure of LaY2W at the GGA-PBE level of DFT.

```
LaY2W
1.0
-3.8860 4.1944 3.1992
-3.6876 1.1140 5.2999
2.4666 2.7123 3.7441
La W Y
1 1 2
Cartesian
-3.8302 6.0155 9.1824
-1.2767 2.0052 3.0608
-7.1230 5.1923 8.2864
-3.0041 4.1263 6.3343
```

## Properties
For the energy above the lowest structure with this stoichiometry, the calculation gives 77 meV per atom.

Entry 4:
Computed, not measured: an optimized crystal structure of La2YW at the GGA-PBE level of DFT.

```
La2YW
1.0
3.2480 0.0000 0.0000
0.0000 4.8988 0.0000
0.0000 0.0000 6.7989
La W Y
2 1 1
Cartesian
0.0000 0.0000 6.7661
1.6240 2.4494 1.8549
0.0000 0.0000 3.5253
1.6240 2.4494 4.8509
```

## Properties
For the energy above the lowest structure with this stoichiometry, the calculation gives 109 meV per atom.

Entry 5:
Computed, not measured: an optimized crystal structure of LaY4W at the GGA-PBE level of DFT.

```
LaY4W
1.0
0.0000 4.4113 4.4113
4.4113 0.0000 4.4113
4.4113 4.4113 0.0000
La Y W
1 4 1
Cartesian
6.6170 6.6170 6.6170
3.2912 5.5315 5.5315
5.5315 5.5315 3.2912
5.5315 3.2912 5.5315
3.2912 3.2912 3.2912
0.0000 0.0000 0.0000
```

Entry 6:
Computed, not measured: an optimized crystal structure of La2YW at the GGA-PBE level of DFT.

```
La2YW
1.0
-2.5364 -0.8821 1.8212
3.0642 -2.4275 3.0916
0.7092 5.6197 3.7097
La W Y
2 1 1
Cartesian
0.0216 0.1710 0.1129
0.3330 2.6389 1.7420
0.4412 -0.2499 3.3838
0.7958 2.5599 5.2387
```

## Properties
For the energy above the lowest structure with this stoichiometry, the calculation gives 155 meV per atom.

Entry 7:
Computed, not measured: an optimized crystal structure of La2YW at the GGA-PBE level of DFT.

```
La2YW
1.0
-7.9771 -4.8618 5.3943
-6.4783 -7.7139 3.8598
-5.1735 -6.4477 6.9306
La W Y
2 1 1
Cartesian
-19.6013 -18.9967 16.1620
-4.5822 -4.4408 3.7782
-9.8343 -9.5309 8.1087
-15.0546 -14.5901 12.4130
```

## Properties
For the energy above the lowest structure with this stoichiometry, the calculation gives 134 meV per atom.

Entry 8:
Computed, not measured: an optimized crystal structure of La2YW at the GGA-PBE level of DFT.

```
La2YW
1.0
3.3430 -0.0045 0.0000
-1.3001 3.0798 0.0000
0.0000 0.0000 11.1421
La W Y
2 1 1
Cartesian
0.0000 0.0000 0.5411
0.0000 0.0000 5.0300
1.0214 1.5377 2.7855
1.0214 1.5377 8.3566
```

## Properties
For the energy above the lowest structure with this stoichiometry, the calculation gives 108 meV per atom.

Entry 9:
Computed, not measured: an optimized crystal structure of LaY2W at the GGA-PBE level of DFT.

```
LaY2W
1.0
-1.9531 -1.9952 -6.8764
4.1587 -2.8045 2.7962
-1.7269 -2.9022 -0.3501
La W Y
1 1 2
Cartesian
1.2159 -2.8533 1.2230
1.1028 -2.3998 -2.0401
0.0000 0.0000 0.0000
-1.8400 -2.4487 -3.6132
```

## Properties
For the energy above the lowest structure with this stoichiometry, the calculation gives 195 meV per atom.

Entry 10:
Computed, not measured: an optimized crystal structure of LaY2W at the GGA-PBE level of DFT.

```
LaY2W
1.0
10.5524 -0.0217 -0.0127
9.9664 3.4676 -0.0127
9.9664 1.6737 3.0369
La W Y
1 1 2
Cartesian
14.7825 2.4826 1.4603
22.9045 3.8465 2.2626
0.4298 0.0722 0.0425
7.6111 1.2782 0.7518
```

## Properties
For the energy above the lowest structure with this stoichiometry, the calculation gives 168 meV per atom.

Entry 11:
Computed, not measured: an optimized crystal structure of LaY2W at the GGA-PBE level of DFT.

```
LaY2W
1.0
11.1565 -0.0269 -0.0158
10.6393 3.3576 -0.0158
10.6393 1.6258 2.9378
La W Y
1 1 2
Cartesian
8.1087 1.2391 0.7265
24.3262 3.7174 2.1796
0.4761 0.0728 0.0427
15.7414 2.4055 1.4104
```

## Properties
For the energy above the lowest structure with this stoichiometry, the calculation gives 138 meV per atom.

Entry 12:
Computed, not measured: an optimized crystal structure of La2YW at the GGA-PBE level of DFT.

```
La2YW
1.0
-0.3707 -0.1894 4.8024
-3.5258 -0.1705 -0.2789
-1.7613 -6.6071 -0.3965
La W Y
2 1 1
Cartesian
-0.3238 -0.2139 -0.0334
-2.3198 -3.1749 -0.3043
-1.5071 -1.7891 2.2324
-4.1507 -5.1779 1.8947
```

## Properties
For the energy above the lowest structure with this stoichiometry, the calculation gives 128 meV per atom.

For reference, DFT formation energy by record: 0.46; 0.48; 0.48; 0.55; 0.89; 0.60; 0.58; 0.55; 0.60; 0.58; 0.55; 0.57 eV/atom.